IrWO2: relaxed, PBE+U.

Computed properties:
- calculated total energy (eV/atom) = -6.83
- E above lowest polymorph (meV per atom) = 341
- DOS(E_F) (states/eV/atom) = 0.17
- calculated density (g/cm³) = 13.52

Lattice parameters (Å, degrees): 3.920 3.920 7.088 73.95 73.95 90.00
Fractional positions:
Ir 0.000 0.000 0.000
Ir 0.750 0.250 0.500
O 0.600 0.125 0.250
O 0.150 0.625 0.250
O 0.375 0.400 0.750
O 0.875 0.850 0.750
W 0.500 0.500 0.000
W 0.250 0.750 0.500